Entry 1:
A plane-wave DFT calculation with PBE-GGA was carried out for a geometry-optimized NbSiGe structure.

The energy is -64.22 eV/cell. For the density of states at the Fermi level, the calculation gives 0.47 states/eV per atom. As for the energy above the most stable polymorph in this dataset: 0.000 eV/atom. As for the total magnetization: 0.00 μB/f.u. The uncorrected formation energy comes out at -0.433 eV per atom.

The space group is P3_212 (No. 153) and the conventional cell measures 4.9123, 4.9123 and 6.7361 Å, with angles of 90.00, 90.00 and 120.00 degrees. The asymmetric unit holds Nb at (0.0038, 0.5019, 0.0000), Si at (0.1619, 0.3237, 0.3333) and Ge at (0.3240, 0.1620, 0.0000).



Entry 2:
A plane-wave DFT calculation with PBE-GGA was carried out for a geometry-optimized CeHoPS structure.

The energy is -82.04 eV/cell. For the density of states at the Fermi level, the calculation gives 1.42 states/eV per atom. As for the total magnetization: 0.77 μB/f.u. The uncorrected formation energy comes out at -1.824 eV per atom.

The space group is R3m (No. 160, hexagonal axes) and the conventional cell measures 4.0023, 4.0023 and 19.6715 Å, with angles of 90.00, 90.00 and 120.00 degrees. The asymmetric unit holds Ce at (0.0000, 0.0000, 0.0000), Ho at (0.0000, 0.0000, 0.4968), P at (0.0000, 0.0000, 0.7512) and S at (0.0000, 0.0000, 0.2449).



Entry 3:
A plane-wave DFT calculation with PBE-GGA was carried out for a geometry-optimized MgHgRu2 structure.

The value obtained for the formation energy from the elements is 3.093 eV per formula unit. The energy is -69.42 eV/cell. For the density of states at the Fermi level, the calculation gives 1.27 states/eV per atom. As for the energy above the most stable polymorph in this dataset: 0.698 eV/atom. As for the total magnetization: 0.00 μB/f.u.

The space group is I-42d (No. 122) and the conventional cell measures 7.400, 7.400 and 5.205 Å, with angles of 90.00, 90.00 and 90.00 degrees. The asymmetric unit holds Mg at (0.000, 0.000, 0.000), Hg at (0.000, 0.000, 0.500) and Ru at (0.244, 0.250, 0.125).



Entry 4:
A plane-wave DFT calculation with PBE-GGA was carried out for a geometry-optimized Pm5PtO5 structure.

The energy is -162.38 eV/cell. For the density of states at the Fermi level, the calculation gives 0.43 states/eV per atom. As for the total magnetization: 0.00 μB/f.u. The uncorrected formation energy comes out at -2.419 eV per atom.

The space group is C2/m (No. 12) and the conventional cell measures 12.149, 5.015 and 7.999 Å, with angles of 90.00, 107.09 and 90.00 degrees. The asymmetric unit holds Pm at (0.000, 0.000, 0.000), Pm at (0.141, 0.500, 0.377), Pm at (0.186, 0.500, 0.844), Pt at (0.000, 0.500, 0.000), O at (0.000, 0.500, 0.500), O at (0.176, 0.000, 0.896) and O at (0.203, 0.000, 0.362).